1.
! Na2SiSn (PBE, relaxed); values from VASP
! relative energy among the computed polymorphs = 51 meV per atom
! ΔE_f (raw) = 0.253 eV/atom
! E = -0.2031 Ry per atom
! crystal system = tetragonal
! symmetry = I-42d
&SYSTEM
  ibrav = 0, nat = 8, ntyp = 3
/
ATOMIC_SPECIES
Na 22.99 Na.upf
Si 28.09 Si.upf
Sn 118.71 Sn.upf
CELL_PARAMETERS angstrom
-5.557 5.557 2.595
5.557 -5.557 2.595
5.557 5.557 -2.595
ATOMIC_POSITIONS angstrom
Na 0.612 2.778 0.649
Na -2.778 4.944 1.946
Na -0.612 8.335 0.649
Na 2.778 6.169 1.946
Si 0.000 0.000 0.000
Si 0.000 5.557 1.297
Sn 5.557 0.000 1.297
Sn 0.000 0.000 2.595

2.
! NaSi2Sn (PBE, relaxed); values from VASP
! ΔE_f (raw) = 0.368 eV/atom
! E = -0.2701 Ry per atom
! crystal system = tetragonal
! symmetry = I-42d
&SYSTEM
  ibrav = 0, nat = 8, ntyp = 3
/
ATOMIC_SPECIES
Na 22.99 Na.upf
Si 28.09 Si.upf
Sn 118.71 Sn.upf
CELL_PARAMETERS angstrom
-3.976 3.976 2.874
3.976 -3.976 2.874
3.976 3.976 -2.874
ATOMIC_POSITIONS angstrom
Na 0.000 0.000 0.000
Na 0.000 3.976 1.437
Si 1.988 -1.654 2.155
Si 2.322 1.988 0.718
Si 1.988 5.630 -0.718
Si 1.654 1.988 3.592
Sn 3.976 0.000 1.437
Sn 0.000 0.000 2.874

3.
! Na3SiSn (PBE, relaxed); values from VASP
! relative energy among the computed polymorphs = 0 meV per atom
! ΔE_f (raw) = 0.455 eV/atom
! E = -0.1633 Ry per atom
! crystal system = cubic
! symmetry = Pm-3m
&SYSTEM
  ibrav = 0, nat = 5, ntyp = 3
/
ATOMIC_SPECIES
Na 22.99 Na.upf
Si 28.09 Si.upf
Sn 118.71 Sn.upf
CELL_PARAMETERS angstrom
5.473 0.000 0.000
0.000 5.473 0.000
0.000 0.000 5.473
ATOMIC_POSITIONS angstrom
Na 0.000 0.000 2.736
Na 0.000 2.736 0.000
Na 2.736 0.000 0.000
Si 0.000 0.000 0.000
Sn 2.736 2.736 2.736

4.
! Na2SiSn2 (PBE, relaxed); values from VASP
! ΔE_f (raw) = 0.037 eV/atom
! E = -0.2334 Ry per atom
! crystal system = tetragonal
! symmetry = P4/mbm
&SYSTEM
  ibrav = 0, nat = 10, ntyp = 3
/
ATOMIC_SPECIES
Na 22.99 Na.upf
Si 28.09 Si.upf
Sn 118.71 Sn.upf
CELL_PARAMETERS angstrom
7.211 0.000 0.000
0.000 7.211 0.000
0.000 0.000 5.208
ATOMIC_POSITIONS angstrom
Na 1.218 2.387 0.000
Na 2.387 5.993 0.000
Na 4.824 1.218 0.000
Na 5.993 4.824 0.000
Si 0.000 0.000 2.604
Si 3.606 3.606 2.604
Sn 1.045 4.651 2.604
Sn 2.560 1.045 2.604
Sn 4.651 6.166 2.604
Sn 6.166 2.560 2.604

5.
! Na2SiSn (PBE, relaxed); values from VASP
! relative energy among the computed polymorphs = 0 meV per atom
! ΔE_f (raw) = 0.202 eV/atom
! E = -0.2068 Ry per atom
! crystal system = cubic
! symmetry = Fm-3m
&SYSTEM
  ibrav = 0, nat = 4, ntyp = 3
/
ATOMIC_SPECIES
Na 22.99 Na.upf
Si 28.09 Si.upf
Sn 118.71 Sn.upf
CELL_PARAMETERS angstrom
0.000 3.603 3.603
3.603 0.000 3.603
3.603 3.603 0.000
ATOMIC_POSITIONS angstrom
Na 1.802 1.802 1.802
Na 5.405 5.405 5.405
Si 0.000 0.000 0.000
Sn 3.603 3.603 3.603

6.
! Na2TaSiSn (PBE, relaxed); values from VASP
! ΔE_f (raw) = 1.516 eV/atom
! E = -0.2401 Ry per atom
! crystal system = tetragonal
! symmetry = P4/mmm
&SYSTEM
  ibrav = 0, nat = 5, ntyp = 4
/
ATOMIC_SPECIES
Na 22.99 Na.upf
Ta 180.95 Ta.upf
Si 28.09 Si.upf
Sn 118.71 Sn.upf
CELL_PARAMETERS angstrom
5.574 0.000 0.000
0.000 5.574 0.000
0.000 0.000 5.061
ATOMIC_POSITIONS angstrom
Na 0.000 2.787 0.000
Na 2.787 0.000 0.000
Ta 0.000 0.000 2.530
Si 2.787 2.787 2.530
Sn 2.787 2.787 0.000

7.
! NaSi2TcSn (PBE, relaxed); values from VASP
! ΔE_f (raw) = 1.651 eV/atom
! E = -0.2687 Ry per atom
! crystal system = tetragonal
! symmetry = P4/mmm
&SYSTEM
  ibrav = 0, nat = 5, ntyp = 4
/
ATOMIC_SPECIES
Na 22.99 Na.upf
Si 28.09 Si.upf
Tc 98.00 Tc.upf
Sn 118.71 Sn.upf
CELL_PARAMETERS angstrom
5.114 0.000 0.000
0.000 5.114 0.000
0.000 0.000 5.245
ATOMIC_POSITIONS angstrom
Na 0.000 0.000 0.000
Si 0.000 2.557 2.623
Si 2.557 0.000 2.623
Tc 2.557 2.557 0.000
Sn 0.000 0.000 2.623

8.
! NaSi2SnTe6 (PBE, relaxed); values from VASP
! ΔE_f (raw) = -0.136 eV/atom
! E = -0.2674 Ry per atom
! crystal system = monoclinic
! symmetry = C2/c
&SYSTEM
  ibrav = 0, nat = 20, ntyp = 4
/
ATOMIC_SPECIES
Na 22.99 Na.upf
Si 28.09 Si.upf
Sn 118.71 Sn.upf
Te 127.60 Te.upf
CELL_PARAMETERS angstrom
7.319 -6.478 0.000
7.319 6.478 0.000
-2.151 0.000 7.173
ATOMIC_POSITIONS angstrom
Na 5.706 4.734 5.380
Na 6.781 -4.734 1.793
Si 2.535 1.103 5.494
Si 3.611 -1.103 1.908
Si 8.876 1.103 5.265
Si 9.951 -1.103 1.679
Sn 6.781 3.082 1.793
Sn 5.706 -3.082 5.380
Te 0.105 0.952 4.786
Te 3.084 3.428 6.230
Te 1.181 -0.952 1.199
Te 4.281 0.731 3.618
Te 8.327 3.428 4.530
Te 5.357 -0.731 0.031
Te 7.130 0.731 7.142
Te 4.160 -3.428 2.643
Te 8.205 -0.731 3.555
Te 11.306 0.952 5.974
Te 9.402 -3.428 0.944
Te 12.381 -0.952 2.387

9.
! Na2SiSnTe5 (PBE, relaxed); values from VASP
! ΔE_f (raw) = -0.363 eV/atom
! E = -0.2535 Ry per atom
! crystal system = orthorhombic
! symmetry = Cmc2_1
&SYSTEM
  ibrav = 0, nat = 18, ntyp = 4
/
ATOMIC_SPECIES
Na 22.99 Na.upf
Si 28.09 Si.upf
Sn 118.71 Sn.upf
Te 127.60 Te.upf
CELL_PARAMETERS angstrom
1.973 -10.556 0.000
1.973 10.556 0.000
0.000 0.000 14.137
ATOMIC_POSITIONS angstrom
Na 1.973 8.166 7.069
Na 1.973 7.923 12.160
Na 1.973 -7.923 5.092
Na 1.973 -8.166 0.000
Si 1.973 1.298 8.575
Si 1.973 -1.298 1.507
Sn 1.973 5.853 3.166
Sn 1.973 -5.853 10.234
Te 1.973 9.896 3.052
Te 1.973 4.546 12.356
Te 1.973 3.782 8.042
Te 1.973 3.092 2.550
Te 1.973 0.181 6.341
Te 1.973 -0.181 13.410
Te 1.973 -3.092 9.619
Te 1.973 -3.782 0.974
Te 1.973 -4.546 5.287
Te 1.973 -9.896 10.121

10.
! Na2SiSnTe4 (PBE, relaxed); values from VASP
! ΔE_f (raw) = -0.431 eV/atom
! E = -0.2580 Ry per atom
! crystal system = orthorhombic
! symmetry = Pmn2_1
&SYSTEM
  ibrav = 0, nat = 16, ntyp = 4
/
ATOMIC_SPECIES
Na 22.99 Na.upf
Si 28.09 Si.upf
Sn 118.71 Sn.upf
Te 127.60 Te.upf
CELL_PARAMETERS angstrom
10.556 0.000 0.000
0.000 8.348 0.000
0.000 0.000 6.723
ATOMIC_POSITIONS angstrom
Na 2.635 1.457 0.000
Na 2.643 6.891 3.362
Na 7.921 1.457 0.000
Na 7.913 6.891 3.362
Si 0.000 2.879 3.826
Si 5.278 5.469 0.465
Sn 0.000 5.850 0.154
Sn 5.278 2.497 3.516
Te 0.000 3.020 6.376
Te 0.000 5.329 3.087
Te 2.160 1.693 3.207
Te 3.118 6.654 6.569
Te 5.278 3.019 6.448
Te 5.278 5.327 3.015
Te 7.438 6.654 6.569
Te 8.396 1.693 3.207

11.
! NaTlSi2Sn (PBE, relaxed); values from VASP
! ΔE_f (raw) = 0.936 eV/atom
! E = -0.2036 Ry per atom
! crystal system = tetragonal
! symmetry = P4/mmm
&SYSTEM
  ibrav = 0, nat = 5, ntyp = 4
/
ATOMIC_SPECIES
Na 22.99 Na.upf
Tl 204.38 Tl.upf
Si 28.09 Si.upf
Sn 118.71 Sn.upf
CELL_PARAMETERS angstrom
5.246 0.000 0.000
0.000 5.246 0.000
0.000 0.000 5.347
ATOMIC_POSITIONS angstrom
Na 0.000 0.000 0.000
Tl 0.000 0.000 2.674
Si 0.000 2.623 2.674
Si 2.623 0.000 2.674
Sn 2.623 2.623 0.000

12.
! NaSiSnW2 (PBE, relaxed); values from VASP
! ΔE_f (raw) = 1.127 eV/atom
! E = -0.4559 Ry per atom
! crystal system = tetragonal
! symmetry = P4/mmm
&SYSTEM
  ibrav = 0, nat = 5, ntyp = 4
/
ATOMIC_SPECIES
Na 22.99 Na.upf
Si 28.09 Si.upf
Sn 118.71 Sn.upf
W 183.84 W.upf
CELL_PARAMETERS angstrom
4.616 0.000 0.000
0.000 4.616 0.000
0.000 0.000 4.786
ATOMIC_POSITIONS angstrom
Na 0.000 0.000 0.000
Si 0.000 0.000 2.393
Sn 2.308 2.308 0.000
W 0.000 2.308 2.393
W 2.308 0.000 2.393

13.
! Na2Sr4Si (PBE, relaxed); values from VASP
! ΔE_f (raw) = -0.012 eV/atom
! E = -0.1562 Ry per atom
! crystal system = tetragonal
! symmetry = I4/mmm
&SYSTEM
  ibrav = 0, nat = 7, ntyp = 3
/
ATOMIC_SPECIES
Na 22.99 Na.upf
Sr 87.62 Sr.upf
Si 28.09 Si.upf
CELL_PARAMETERS angstrom
-3.051 3.051 9.283
3.051 -3.051 9.283
3.051 3.051 -9.283
ATOMIC_POSITIONS angstrom
Na 0.000 0.000 2.483
Na 0.000 0.000 16.082
Sr 3.051 0.000 0.000
Sr 0.000 0.000 6.215
Sr 0.000 3.051 0.000
Sr 0.000 0.000 12.351
Si 0.000 0.000 9.283

14.
! NaSrSi (PBE, relaxed); values from VASP
! ΔE_f (raw) = -0.043 eV/atom
! E = -0.2095 Ry per atom
! crystal system = hexagonal
! symmetry = P6_222
&SYSTEM
  ibrav = 0, nat = 18, ntyp = 3
/
ATOMIC_SPECIES
Na 22.99 Na.upf
Sr 87.62 Sr.upf
Si 28.09 Si.upf
CELL_PARAMETERS angstrom
7.300 0.000 0.000
-3.650 6.322 0.000
0.000 0.000 13.613
ATOMIC_POSITIONS angstrom
Na 0.000 0.000 0.000
Na 0.000 0.000 4.538
Na 0.000 0.000 9.075
Na -1.825 3.161 2.269
Na 3.650 0.000 6.806
Na 1.825 3.161 11.344
Sr -1.825 3.161 6.125
Sr -1.825 3.161 12.025
Sr 3.650 0.000 2.950
Sr 3.650 0.000 10.663
Sr 1.825 3.161 1.588
Sr 1.825 3.161 7.487
Si -0.813 3.745 9.075
Si 0.813 3.745 4.538
Si 0.000 5.154 0.000
Si 3.650 1.169 0.000
Si 2.837 2.577 4.538
Si 4.463 2.577 9.075

15.
! Na3SrSi3 (PBE, relaxed); values from VASP
! ΔE_f (raw) = -0.150 eV/atom
! E = -0.2410 Ry per atom
! crystal system = hexagonal
! symmetry = P6_3/m
&SYSTEM
  ibrav = 0, nat = 14, ntyp = 3
/
ATOMIC_SPECIES
Na 22.99 Na.upf
Sr 87.62 Sr.upf
Si 28.09 Si.upf
CELL_PARAMETERS angstrom
10.634 0.000 0.000
-5.317 9.209 0.000
0.000 0.000 3.879
ATOMIC_POSITIONS angstrom
Na -0.639 2.872 0.970
Na -2.511 8.327 0.970
Na 2.167 1.989 2.909
Na 3.150 7.220 0.970
Na 7.828 0.883 2.909
Na 5.956 6.338 2.909
Sr 0.000 6.140 2.909
Sr 5.317 3.070 0.970
Si -2.524 5.286 0.970
Si 2.001 4.381 0.970
Si 4.795 0.457 2.909
Si 0.522 8.752 0.970
Si 3.316 4.828 2.909
Si 7.841 3.924 2.909

16.
! NaSr2Si (PBE, relaxed); values from VASP
! ΔE_f (raw) = -0.062 eV/atom
! E = -0.1903 Ry per atom
! crystal system = tetragonal
! symmetry = P4/mmm
&SYSTEM
  ibrav = 0, nat = 4, ntyp = 3
/
ATOMIC_SPECIES
Na 22.99 Na.upf
Sr 87.62 Sr.upf
Si 28.09 Si.upf
CELL_PARAMETERS angstrom
5.662 0.000 0.000
0.000 5.662 0.000
0.000 0.000 4.005
ATOMIC_POSITIONS angstrom
Na 0.000 0.000 0.000
Sr 0.000 2.831 2.002
Sr 2.831 0.000 2.002
Si 2.831 2.831 0.000

17.
! NaSr2Si (PBE, relaxed); values from VASP
! ΔE_f (raw) = 0.014 eV/atom
! E = -0.1847 Ry per atom
! crystal system = trigonal
! symmetry = R-3m
&SYSTEM
  ibrav = 0, nat = 4, ntyp = 3
/
ATOMIC_SPECIES
Na 22.99 Na.upf
Sr 87.62 Sr.upf
Si 28.09 Si.upf
CELL_PARAMETERS angstrom
2.309 1.333 11.214
-2.309 1.333 11.214
0.000 -2.666 11.214
ATOMIC_POSITIONS angstrom
Na 0.000 0.000 0.000
Sr 0.000 0.000 4.035
Sr 0.000 0.000 29.607
Si 0.000 0.000 16.821

18.
! NaSr2Si (PBE, relaxed); values from VASP
! ΔE_f (raw) = -0.138 eV/atom
! E = -0.1958 Ry per atom
! crystal system = tetragonal
! symmetry = P4/mmm
&SYSTEM
  ibrav = 0, nat = 4, ntyp = 3
/
ATOMIC_SPECIES
Na 22.99 Na.upf
Sr 87.62 Sr.upf
Si 28.09 Si.upf
CELL_PARAMETERS angstrom
3.921 0.000 0.000
0.000 3.921 0.000
0.000 0.000 9.222
ATOMIC_POSITIONS angstrom
Na 0.000 0.000 0.000
Sr 1.961 1.961 2.884
Sr 1.961 1.961 6.339
Si 0.000 0.000 4.611

19.
! Na2SrSi2 (PBE, relaxed); values from VASP
! relative energy among the computed polymorphs = 10 meV per atom
! ΔE_f (raw) = -0.135 eV/atom
! E = -0.2329 Ry per atom
! crystal system = tetragonal
! symmetry = I4/mmm
&SYSTEM
  ibrav = 0, nat = 5, ntyp = 3
/
ATOMIC_SPECIES
Na 22.99 Na.upf
Sr 87.62 Sr.upf
Si 28.09 Si.upf
CELL_PARAMETERS angstrom
-2.260 2.260 6.482
2.260 -2.260 6.482
2.260 2.260 -6.482
ATOMIC_POSITIONS angstrom
Na 2.260 0.000 3.241
Na 0.000 2.260 3.241
Sr 0.000 0.000 0.000
Si 0.000 0.000 5.346
Si 0.000 0.000 7.618

20.
! NaSr2Si2 (PBE, relaxed); values from VASP
! ΔE_f (raw) = 0.007 eV/atom
! E = -0.2277 Ry per atom
! crystal system = tetragonal
! symmetry = I4/mmm
&SYSTEM
  ibrav = 0, nat = 5, ntyp = 3
/
ATOMIC_SPECIES
Na 22.99 Na.upf
Sr 87.62 Sr.upf
Si 28.09 Si.upf
CELL_PARAMETERS angstrom
-3.066 3.066 4.339
3.066 -3.066 4.339
3.066 3.066 -4.339
ATOMIC_POSITIONS angstrom
Na 0.000 0.000 0.000
Sr 3.066 0.000 2.169
Sr 0.000 3.066 2.169
Si 0.000 0.000 3.166
Si 0.000 0.000 5.511